Entry 1:
# KRb2HgAu

A geometry-optimized KRb2HgAu structure (GGA-PBE, Alexandria).

For the formation energy, the calculation gives -0.132 eV/atom.

It has space group P4/mmm (No. 123), with a = 6.7433 Å, b = 6.7433 Å, c = 5.5463 Å, α = 90.00°, β = 90.00° and γ = 90.00°. The asymmetric unit holds K at (0.0000, 0.0000, 0.0000), Rb at (0.0000, 0.5000, 0.5000), Hg at (0.5000, 0.5000, 0.0000) and Au at (0.5000, 0.5000, 0.5000).


Entry 2:
# K2Rb3Hg2Au4

A geometry-optimized K2Rb3Hg2Au4 structure (GGA-PBE, Alexandria).

For the formation energy, the calculation gives -0.152 eV/atom.

It has space group I4/mmm (No. 139), with a = 5.5836 Å, b = 5.5836 Å, c = 27.5033 Å, α = 90.00°, β = 90.00° and γ = 90.00°. The asymmetric unit holds K at (0.0000, 0.0000, 0.1719), Rb at (0.0000, 0.0000, 0.3415), Rb at (0.0000, 0.0000, 0.5000), Hg at (0.0000, 0.0000, 0.0546) and Au at (0.0000, 0.5000, 0.0894).


Entry 3:
# KRbHg2Au

A geometry-optimized KRbHg2Au structure (GGA-PBE, Alexandria).

For the formation energy, the calculation gives -0.260 eV/atom.

It has space group Imm2 (No. 44), with a = 4.6819 Å, b = 4.9521 Å, c = 16.2728 Å, α = 90.00°, β = 90.00° and γ = 90.00°. The asymmetric unit holds K at (0.0000, 0.0000, 0.0000), Rb at (0.0000, 0.5000, 0.2350), Hg at (0.0000, 0.0000, 0.5547), Hg at (0.0000, 0.5000, 0.8382) and Au at (0.0000, 0.5000, 0.6573).


Entry 4:
# KRbHgAu

A geometry-optimized KRbHgAu structure (GGA-PBE, Alexandria).

For the formation energy, the calculation gives -0.291 eV/atom.

It has space group Amm2 (No. 38), with a = 4.9043 Å, b = 5.0159 Å, c = 12.6279 Å, α = 90.00°, β = 90.00° and γ = 90.00°. The asymmetric unit holds K at (0.0000, 0.0000, 0.0000), Rb at (0.5000, 0.0000, 0.2845), Hg at (0.5000, 0.0000, 0.5745) and Au at (0.0000, 0.0000, 0.7028).